An optimized crystal structure of Ti2CrNi9. Source: the Alexandria database, functional PBE.

Results
DFT formation energy	-0.305	eV/atom
density of states at the Fermi level	0.790	states/eV/atom
VASP energy	-6.76	eV/atom

Cell lengths 3.5948, 3.5948, 10.7757 Å; angles 90.00, 90.00, 90.00 degrees
Closest atoms and distances in Å follow each position.
Element x y z (fractional)
Ti (0.0000, 0.0000, 0.1691)  12 Ni 2.53-2.56
Ti (0.0000, 0.0000, 0.8309)  12 Ni 2.53-2.56
Cr (0.0000, 0.0000, 0.5000)  12 Ni 2.53-2.54
Ni (0.0000, 0.5000, 0.0000)  8 Ni 2.54-2.55, 4 Ti 2.56
Ni (0.0000, 0.5000, 0.3348)  2 Cr 2.53, 8 Ni 2.53-2.55, 2 Ti 2.53
Ni (0.0000, 0.5000, 0.6652)  2 Cr 2.53, 8 Ni 2.53-2.55, 2 Ti 2.53
Ni (0.5000, 0.0000, 0.0000)  8 Ni 2.54-2.55, 4 Ti 2.56
Ni (0.5000, 0.0000, 0.3348)  2 Cr 2.53, 8 Ni 2.53-2.55, 2 Ti 2.53
Ni (0.5000, 0.0000, 0.6652)  2 Cr 2.53, 8 Ni 2.53-2.55, 2 Ti 2.53
Ni (0.5000, 0.5000, 0.1673)  4 Ti 2.54, 8 Ni 2.55
Ni (0.5000, 0.5000, 0.5000)  8 Ni 2.53, 4 Cr 2.54
Ni (0.5000, 0.5000, 0.8327)  4 Ti 2.54, 8 Ni 2.55